Compound: FeCuRh2
Source: Alexandria via LeMat-Bulk
Functional: PBE-GGA
Structure: relaxed

a = 3.050 Å, b = 3.050 Å, c = 5.791 Å
α = 90.00°, β = 90.00°, γ = 90.00°
Positions (direct):
Fe1 0.000 0.000 0.000
Cu1 0.500 0.500 0.776
Rh1 0.000 0.000 0.535
Rh2 0.500 0.500 0.238

DFT formation energy: 117 meV per atom
total energy: -26.8 eV/cell